! CeAlO | the Alexandria database | PBE | relaxed; values from VASP
! Total magnetic moment: 0.9 μB/f.u.
! Final energy: -39.6 eV per cell
! Raw formation energy: -1727 meV/atom
! V: 18.3 Å³/atom
! DOS(E_F): 9.7 states/eV/cell
&SYSTEM
  ibrav = 0, nat = 6, ntyp = 3
/
ATOMIC_SPECIES
Ce 140.12 Ce.upf
Al 26.98 Al.upf
O 16.00 O.upf
ATOMIC_POSITIONS angstrom
Ce 0.8927 0.8927 1.4023
Ce 2.6782 2.6782 7.1995
Al 0.8927 2.6782 4.3009
Al 2.6782 0.8927 4.3009
O 0.8927 0.8927 7.6985
O 2.6782 2.6782 0.9032
CELL_PARAMETERS angstrom
3.5709 0.0000 0.0000
0.0000 3.5709 0.0000
0.0000 0.0000 8.6017